{
  "formula": "BeIrBr2",
  "functional": "GGA-PBE",
  "state": "optimized geometry",
  "cell": [[3.1202, 0.0000, 0.0000], [0.0000, 3.1202, 0.0000], [0.0000, 0.0000, 7.0963]],
  "species": ["Be", "Ir", "Br", "Br"],
  "fractional_positions": [[0.5000, 0.5000, 0.7500], [0.5000, 0.5000, 0.2500], [0.0000, 0.0000, 0.9736], [0.0000, 0.0000, 0.5264]],
  "raw_formation_energy_mev_per_atom": 1129.3,
  "de_polymorph_mev_per_atom": 1119.2,
  "vol_a3_per_atom": 17.27
}



{
  "formula": "BeIr2Br",
  "functional": "GGA-PBE",
  "state": "optimized geometry",
  "cell": [[2.8626, 0.0000, 0.0000], [0.0000, 2.8626, 0.0000], [0.0000, 0.0000, 7.2241]],
  "species": ["Be", "Ir", "Ir", "Br"],
  "fractional_positions": [[0.5000, 0.5000, 0.2500], [0.0000, 0.0000, 0.0668], [0.0000, 0.0000, 0.4332], [0.5000, 0.5000, 0.7500]],
  "raw_formation_energy_mev_per_atom": 415.2,
  "de_polymorph_mev_per_atom": 142.4,
  "vol_a3_per_atom": 14.80
}



{
  "formula": "Be2IrBr",
  "functional": "GGA-PBE",
  "state": "optimized geometry",
  "cell": [[-0.0619, 5.3168, 0.3146], [-2.3934, 0.2533, -4.7517], [-5.7749, 2.5972, 0.0618]],
  "species": ["Be", "Be", "Be", "Be", "Ir", "Ir", "Br", "Br"],
  "fractional_positions": [[0.6622, 0.1250, 0.2500], [0.0878, 0.6250, 0.2500], [0.3750, 0.3378, 0.7500], [0.8750, 0.9122, 0.7500], [0.0000, 0.0000, 0.0000], [0.7500, 0.2500, 0.5000], [0.5000, 0.5000, 0.0000], [0.2500, 0.7500, 0.5000]],
  "raw_formation_energy_mev_per_atom": 266.5,
  "de_polymorph_mev_per_atom": 427.0,
  "vol_a3_per_atom": 18.05
}



{
  "formula": "BeIr2Br",
  "functional": "GGA-PBE",
  "state": "optimized geometry",
  "cell": [[-2.5392, -2.4794, 1.8514], [2.5114, -3.0504, -0.6407], [3.5535, -1.2746, 7.4940]],
  "species": ["Be", "Be", "Ir", "Ir", "Ir", "Ir", "Br", "Br"],
  "fractional_positions": [[0.5000, 0.5000, 0.0000], [0.2500, 0.7500, 0.5000], [0.6035, 0.1250, 0.2500], [0.1465, 0.6250, 0.2500], [0.3750, 0.3965, 0.7500], [0.8750, 0.8535, 0.7500], [0.0000, 0.0000, 0.0000], [0.7500, 0.2500, 0.5000]],
  "raw_formation_energy_mev_per_atom": 679.2,
  "de_polymorph_mev_per_atom": 406.5,
  "vol_a3_per_atom": 15.82
}



{
  "formula": "Be2IrBr",
  "functional": "GGA-PBE",
  "state": "optimized geometry",
  "cell": [[4.2965, 0.0186, -0.0337], [-0.7431, 4.2318, -0.0337], [0.0288, 0.0344, 2.9198]],
  "species": ["Be", "Be", "Ir", "Br"],
  "fractional_positions": [[0.0000, 0.0000, 0.0000], [0.5000, 0.5000, 0.0000], [0.0000, 0.5000, 0.5000], [0.5000, 0.0000, 0.5000]],
  "raw_formation_energy_mev_per_atom": 415.7,
  "de_polymorph_mev_per_atom": 576.2,
  "vol_a3_per_atom": 13.28
}



{
  "formula": "BeIrBr2",
  "functional": "GGA-PBE",
  "state": "optimized geometry",
  "cell": [[4.6645, 0.0126, 0.0000], [-0.0154, 4.6646, 0.0000], [0.0000, 0.0000, 3.1832]],
  "species": ["Be", "Ir", "Br", "Br"],
  "fractional_positions": [[0.0000, 0.5000, 0.5000], [0.5000, 0.0000, 0.5000], [0.0000, 0.0000, 0.0000], [0.5000, 0.5000, 0.0000]],
  "raw_formation_energy_mev_per_atom": 1098.8,
  "de_polymorph_mev_per_atom": 1088.7,
  "vol_a3_per_atom": 17.32
}



{
  "formula": "Be2IrBr",
  "functional": "GGA-PBE",
  "state": "optimized geometry",
  "cell": [[7.0160, 0.0219, 0.0131], [6.3400, 3.0049, 0.0131], [6.3400, 1.4368, 2.6392]],
  "species": ["Be", "Be", "Ir", "Br"],
  "fractional_positions": [[0.0064, 0.0064, 0.0064], [0.4936, 0.4936, 0.4936], [0.7500, 0.7500, 0.7500], [0.2500, 0.2500, 0.2500]],
  "raw_formation_energy_mev_per_atom": 148.3,
  "de_polymorph_mev_per_atom": 308.7,
  "vol_a3_per_atom": 13.75
}



{
  "formula": "Be2IrBr",
  "functional": "GGA-PBE",
  "state": "optimized geometry",
  "cell": [[-1.0844, 1.1757, 3.2658], [-2.0442, -2.1366, 2.1167], [4.5008, -2.0821, 2.2427]],
  "species": ["Be", "Be", "Ir", "Br"],
  "fractional_positions": [[0.0414, 0.0414, 0.0174], [0.3749, 0.3749, 0.0881], [0.7082, 0.7081, 0.8784], [0.3755, 0.3755, 0.5161]],
  "raw_formation_energy_mev_per_atom": -125.1,
  "de_polymorph_mev_per_atom": 35.4,
  "vol_a3_per_atom": 15.58
}



{
  "formula": "BeIr2Br",
  "functional": "GGA-PBE",
  "state": "optimized geometry",
  "cell": [[-1.0903, -0.5986, 3.3590], [2.6107, 0.1119, 0.8674], [0.3459, 7.4531, 1.4405]],
  "species": ["Be", "Ir", "Ir", "Br"],
  "fractional_positions": [[0.0000, 0.6560, 0.3664], [0.0000, 0.7766, 0.0567], [0.5000, 0.1972, 0.2572], [0.5000, 0.8702, 0.8197]],
  "raw_formation_energy_mev_per_atom": 288.6,
  "de_polymorph_mev_per_atom": 15.9,
  "vol_a3_per_atom": 18.54
}



{
  "formula": "BeIrBr2",
  "functional": "GGA-PBE",
  "state": "optimized geometry",
  "cell": [[-0.5314, 3.0589, 1.4285], [-0.2911, -3.0464, 1.5214], [9.1135, 0.3974, 2.5393]],
  "species": ["Be", "Ir", "Br", "Br"],
  "fractional_positions": [[0.5000, 0.5000, 0.7367], [0.0000, 0.0000, 0.5363], [0.0000, 0.0000, 0.8998], [0.5000, 0.5000, 0.3272]],
  "raw_formation_energy_mev_per_atom": 289.6,
  "de_polymorph_mev_per_atom": 279.5,
  "vol_a3_per_atom": 22.15
}



{
  "formula": "BeIr2Br",
  "functional": "GGA-PBE",
  "state": "optimized geometry",
  "cell": [[2.8746, 0.0000, 0.0000], [0.0000, 2.8746, 0.0000], [0.0000, 0.0000, 8.1443]],
  "species": ["Be", "Ir", "Ir", "Br"],
  "fractional_positions": [[0.0000, 0.0000, 0.4054], [0.0000, 0.0000, 0.0358], [0.5000, 0.5000, 0.2677], [0.5000, 0.5000, 0.7911]],
  "raw_formation_energy_mev_per_atom": 450.2,
  "de_polymorph_mev_per_atom": 177.4,
  "vol_a3_per_atom": 16.83
}



{
  "formula": "Be2IrBr",
  "functional": "GGA-PBE",
  "state": "optimized geometry",
  "cell": [[3.1986, 0.0000, 0.0000], [0.0000, 3.0753, -0.0994], [0.0000, 0.3517, 6.8439]],
  "species": ["Be", "Be", "Ir", "Br"],
  "fractional_positions": [[0.0000, 0.2602, 0.8907], [0.5000, 0.2462, 0.2173], [0.5000, 0.7571, 0.9616], [0.0000, 0.2365, 0.4305]],
  "raw_formation_energy_mev_per_atom": -160.4,
  "de_polymorph_mev_per_atom": 0.0,
  "vol_a3_per_atom": 16.86
}